Density functional theory data (PBE-GGA) for GdCdTeO after structural relaxation.

## Properties
Energy above the lowest structure with this stoichiometry = 0.00 eV/f.u.
Energy = -36.5 eV per cell
Total moment = 0.0008 μB per atom
Volume = 217.9 Å³ per cell

a b c (Å): 4.629 4.629 12.041
angles (deg): 78.92 101.08 120.00
Element x y z (fractional)
O: 0.696 0.304 0.089
Gd: 0.756 0.244 0.267
Te: 0.128 0.872 0.384
Cd: 0.634 0.366 0.901
Gd: 0.244 0.756 0.733
Te: 0.872 0.128 0.616
Cd: 0.366 0.634 0.099
O: 0.304 0.696 0.911



Density functional theory data (PBE-GGA) for DyHo2Al7Cu2 after structural relaxation.

## Properties
Energy = -53.2 eV per cell
Total moment = 0.0000 μB per atom
Volume = 219.6 Å³ per cell

a b c (Å): 9.036 9.036 9.036
angles (deg): 35.26 35.26 35.26
Element x y z (fractional)
Al: 0.582 0.072 0.582
Al: 0.500 0.500 0.500
Cu: 0.335 0.335 0.335
Dy: 0.000 0.000 0.000
Al: 0.072 0.582 0.582
Al: 0.928 0.418 0.418
Al: 0.418 0.418 0.928
Al: 0.582 0.582 0.072
Ho: 0.142 0.142 0.142
Al: 0.418 0.928 0.418
Ho: 0.858 0.858 0.858
Cu: 0.665 0.665 0.665